# 1
The following is a GGA-PBE calculation of a relaxed structure of ScHgRu2, from Alexandria via LeMat-Bulk.

The space group is P4/mmm (No. 123) and the conventional cell measures 4.113, 4.113 and 3.943 Å, with angles of 90.00, 90.00 and 90.00 degrees. Symmetry generates all atoms from Sc at (0.000, 0.000, 0.000), Hg at (0.500, 0.500, 0.000) and Ru at (0.000, 0.500, 0.500).

As for the formation energy: -8.1 meV per atom. The uncorrected energy is -6.304 eV/atom. The spin magnetization comes out at 1.0 μB per formula unit.


# 2
The following is a GGA-PBE calculation of a relaxed structure of ScHgRu2, from Alexandria via LeMat-Bulk.

The space group is Cm (No. 8) and the conventional cell measures 10.307, 3.076 and 4.683 Å, with angles of 90.00, 113.79 and 90.00 degrees. Symmetry generates all atoms from Sc at (0.000, 0.000, 0.000), Hg at (0.228, 0.000, 0.637), Ru at (0.258, 0.500, 0.159) and Ru at (0.475, 0.000, 0.498).

As for the formation energy: 1.4 meV per atom. The uncorrected energy is -6.295 eV/atom. The spin magnetization comes out at 0.0 μB per formula unit.


# 3
The following is a GGA-PBE calculation of a relaxed structure of Sc4HgRu, from Alexandria via LeMat-Bulk.

The space group is C2/c (No. 15) and the conventional cell measures 8.113, 11.771 and 5.835 Å, with angles of 90.00, 106.45 and 90.00 degrees. Symmetry generates all atoms from Sc at (0.105, 0.172, 0.048), Sc at (0.216, 0.418, 0.397), Hg at (0.000, 0.373, 0.750) and Ru at (0.000, 0.001, 0.250).

As for the formation energy: -381.5 meV per atom. The uncorrected energy is -6.199 eV/atom. The spin magnetization comes out at 0.0 μB per formula unit.


# 4
The following is a GGA-PBE calculation of a relaxed structure of ScHgRu3, from Alexandria via LeMat-Bulk.

The space group is Pm-3m (No. 221) and the conventional cell measures 4.908, 4.908 and 4.908 Å, with angles of 90.00, 90.00 and 90.00 degrees. Symmetry generates all atoms from Sc at (0.000, 0.000, 0.000), Hg at (0.500, 0.500, 0.500) and Ru at (0.000, 0.500, 0.500).

As for the formation energy: 1845.9 meV per atom. The uncorrected energy is -5.046 eV/atom. The spin magnetization comes out at 4.3 μB per formula unit.


# 5
The following is a GGA-PBE calculation of a relaxed structure of Sc2HgRu, from Alexandria via LeMat-Bulk.

The space group is R-3m (No. 166, hexagonal axes) and the conventional cell measures 3.3175, 3.3175 and 25.4941 Å, with angles of 90.00, 90.00 and 120.00 degrees. Symmetry generates all atoms from Sc at (0.0000, 0.0000, 0.2394), Hg at (0.0000, 0.0000, 0.0000) and Ru at (0.0000, 0.0000, 0.5000).

As for the formation energy: -304.2 meV per atom. The uncorrected energy is -5.864 eV/atom. The spin magnetization comes out at 0.0 μB per formula unit.


# 6
The following is a GGA-PBE calculation of a relaxed structure of ScHgRu2, from Alexandria via LeMat-Bulk.

The space group is Cm (No. 8) and the conventional cell measures 9.351, 5.809 and 6.761 Å, with angles of 90.00, 132.20 and 90.00 degrees. Symmetry generates all atoms from Sc at (0.000, 0.000, 0.000), Sc at (0.042, 0.500, 0.683), Hg at (0.207, 0.258, 0.485), Ru at (0.045, 0.000, 0.648), Ru at (0.294, 0.262, 0.146) and Ru at (0.425, 0.000, 0.984).

As for the formation energy: -7.3 meV per atom. The uncorrected energy is -6.304 eV/atom. The spin magnetization comes out at 0.0 μB per formula unit.


# 7
The following is a GGA-PBE calculation of a relaxed structure of ScHgRu2, from Alexandria via LeMat-Bulk.

The space group is P1 (No. 1) and the conventional cell measures 5.092, 5.444 and 5.507 Å, with angles of 92.04, 90.99 and 115.06 degrees. Symmetry generates all atoms from Sc at (0.000, 0.000, 0.000), Sc at (0.363, 0.415, 0.541), Hg at (0.433, 0.586, 0.060), Hg at (0.854, 0.415, 0.807), Ru at (0.374, 0.902, 0.670), Ru at (0.512, 0.105, 0.229), Ru at (0.881, 0.961, 0.489) and Ru at (0.947, 0.555, 0.321).

As for the formation energy: 7.8 meV per atom. The uncorrected energy is -6.288 eV/atom. The spin magnetization comes out at 0.0 μB per formula unit.


# 8
The following is a GGA-PBE calculation of a relaxed structure of ScHgRu2, from Alexandria via LeMat-Bulk.

The space group is Cm (No. 8) and the conventional cell measures 8.730, 5.154 and 7.492 Å, with angles of 90.00, 117.40 and 90.00 degrees. Symmetry generates all atoms from Sc at (0.000, 0.000, 0.000), Sc at (0.087, 0.500, 0.795), Hg at (0.194, 0.500, 0.217), Hg at (0.402, 0.000, 0.340), Ru at (0.018, 0.000, 0.610), Ru at (0.265, 0.254, 0.606) and Ru at (0.311, 0.000, 0.931).

As for the formation energy: -7.5 meV per atom. The uncorrected energy is -6.304 eV/atom. The spin magnetization comes out at 0.0 μB per formula unit.